[1]
The following is a PBE calculation of crystalline BaY2Cu2 at its relaxed geometry, from Alexandria.

```
data_BaY2Cu2
_chemical_formula_sum 'Ba2 Y4 Cu4'
_cell_length_a 8.6078
_cell_length_b 8.6078
_cell_length_c 3.4288
_cell_angle_alpha 90.00
_cell_angle_beta 90.00
_cell_angle_gamma 90.00
_symmetry_space_group_name_H-M 'P 1'
_symmetry_Int_Tables_number 1
loop_
_symmetry_equiv_pos_as_xyz
'x,y,z'
loop_
_atom_site_label
_atom_site_type_symbol
_atom_site_fract_x
_atom_site_fract_y
_atom_site_fract_z
Y1 Y 0.3644 0.8644 0.0000
Y2 Y 0.1356 0.3644 0.0000
Ba1 Ba 0.5000 0.5000 0.0000
Y3 Y 0.8644 0.6356 0.0000
Cu1 Cu 0.1528 0.6528 0.5000
Y4 Y 0.6356 0.1356 0.0000
Cu2 Cu 0.3472 0.1528 0.5000
Ba2 Ba 0.0000 0.0000 0.0000
Cu3 Cu 0.6528 0.8472 0.5000
Cu4 Cu 0.8472 0.3472 0.5000
```

Results
SG = P4/mbm (127)
offset from the most stable computed form = 10 kJ/mol of formula units

[2]
The following is a PBE calculation of crystalline Ba2YCu2 at its relaxed geometry, from Alexandria.

```
data_Ba2YCu2
_chemical_formula_sum 'Ba4 Y2 Cu4'
_cell_length_a 7.7784
_cell_length_b 7.7784
_cell_length_c 5.1804
_cell_angle_alpha 90.00
_cell_angle_beta 90.00
_cell_angle_gamma 90.00
_symmetry_space_group_name_H-M 'P 1'
_symmetry_Int_Tables_number 1
loop_
_symmetry_equiv_pos_as_xyz
'x,y,z'
loop_
_atom_site_label
_atom_site_type_symbol
_atom_site_fract_x
_atom_site_fract_y
_atom_site_fract_z
Cu1 Cu 0.3827 0.8827 0.0000
Ba1 Ba 0.8261 0.3261 0.5000
Y1 Y 0.5000 0.5000 0.0000
Ba2 Ba 0.3261 0.1739 0.5000
Cu2 Cu 0.6173 0.1173 0.0000
Y2 Y 0.0000 0.0000 0.0000
Ba3 Ba 0.6739 0.8261 0.5000
Cu3 Cu 0.1173 0.3827 0.0000
Cu4 Cu 0.8827 0.6173 0.0000
Ba4 Ba 0.1739 0.6739 0.5000
```

Results
SG = P4/mbm (127)

[3]
The following is a PBE calculation of crystalline BaYCu2 at its relaxed geometry, from Alexandria.

```
data_BaYCu2
_chemical_formula_sum 'Ba1 Y1 Cu2'
_cell_length_a 4.2104
_cell_length_b 4.0397
_cell_length_c 6.8665
_cell_angle_alpha 72.87
_cell_angle_beta 90.00
_cell_angle_gamma 90.00
_symmetry_space_group_name_H-M 'P 1'
_symmetry_Int_Tables_number 1
loop_
_symmetry_equiv_pos_as_xyz
'x,y,z'
loop_
_atom_site_label
_atom_site_type_symbol
_atom_site_fract_x
_atom_site_fract_y
_atom_site_fract_z
Cu1 Cu 0.5000 0.0567 0.2632
Cu2 Cu 0.0000 0.1616 0.0521
Y1 Y 0.0000 0.5048 0.3650
Ba1 Ba 0.5000 0.7769 0.8196
```

Results
SG = Pm (6)
offset from the most stable computed form = 23 kJ/mol of formula units

[4]
The following is a PBE calculation of crystalline BaYCu2 at its relaxed geometry, from Alexandria.

```
data_BaYCu2
_chemical_formula_sum 'Ba1 Y1 Cu2'
_cell_length_a 8.2959
_cell_length_b 5.2940
_cell_length_c 3.5782
_cell_angle_alpha 89.97
_cell_angle_beta 64.48
_cell_angle_gamma 129.64
_symmetry_space_group_name_H-M 'P 1'
_symmetry_Int_Tables_number 1
loop_
_symmetry_equiv_pos_as_xyz
'x,y,z'
loop_
_atom_site_label
_atom_site_type_symbol
_atom_site_fract_x
_atom_site_fract_y
_atom_site_fract_z
Cu1 Cu 0.5000 0.0000 0.5000
Ba1 Ba 0.5000 0.5000 0.0000
Y1 Y 0.0000 0.5000 0.5000
Cu2 Cu 0.0000 0.0000 0.0000
```

Results
SG = P4/mmm (123)
offset from the most stable computed form = 45 kJ/mol of formula units

[5]
The following is a PBE calculation of crystalline BaYCu2 at its relaxed geometry, from Alexandria.

```
data_BaYCu2
_chemical_formula_sum 'Ba1 Y1 Cu2'
_cell_length_a 5.0441
_cell_length_b 5.0441
_cell_length_c 5.0441
_cell_angle_alpha 60.00
_cell_angle_beta 60.00
_cell_angle_gamma 60.00
_symmetry_space_group_name_H-M 'P 1'
_symmetry_Int_Tables_number 1
loop_
_symmetry_equiv_pos_as_xyz
'x,y,z'
loop_
_atom_site_label
_atom_site_type_symbol
_atom_site_fract_x
_atom_site_fract_y
_atom_site_fract_z
Ba1 Ba 0.5000 0.5000 0.5000
Y1 Y 0.7500 0.7500 0.7500
Cu1 Cu 0.0000 0.0000 0.0000
Cu2 Cu 0.2500 0.2500 0.2500
```

Results
SG = F-43m (216)
offset from the most stable computed form = 161 kJ/mol of formula units

[6]
The following is a PBE calculation of crystalline BaY2Cu2 at its relaxed geometry, from Alexandria.

```
data_BaY2Cu2
_chemical_formula_sum 'Ba1 Y2 Cu2'
_cell_length_a 5.2194
_cell_length_b 5.2194
_cell_length_c 6.7409
_cell_angle_alpha 67.22
_cell_angle_beta 67.22
_cell_angle_gamma 90.00
_symmetry_space_group_name_H-M 'P 1'
_symmetry_Int_Tables_number 1
loop_
_symmetry_equiv_pos_as_xyz
'x,y,z'
loop_
_atom_site_label
_atom_site_type_symbol
_atom_site_fract_x
_atom_site_fract_y
_atom_site_fract_z
Ba1 Ba 0.0000 0.0000 0.0000
Cu1 Cu 0.2500 0.7500 0.5000
Cu2 Cu 0.7500 0.2500 0.5000
Y1 Y 0.3398 0.3398 0.3205
Y2 Y 0.6602 0.6602 0.6795
```

Results
SG = I4/mmm (139)
offset from the most stable computed form = 48 kJ/mol of formula units

[7]
The following is a PBE calculation of crystalline BaYCu2 at its relaxed geometry, from Alexandria.

```
data_BaYCu2
_chemical_formula_sum 'Ba1 Y1 Cu2'
_cell_length_a 3.5487
_cell_length_b 3.5488
_cell_length_c 8.2660
_cell_angle_alpha 90.00
_cell_angle_beta 90.00
_cell_angle_gamma 90.00
_symmetry_space_group_name_H-M 'P 1'
_symmetry_Int_Tables_number 1
loop_
_symmetry_equiv_pos_as_xyz
'x,y,z'
loop_
_atom_site_label
_atom_site_type_symbol
_atom_site_fract_x
_atom_site_fract_y
_atom_site_fract_z
Cu1 Cu 0.0000 0.0000 0.0765
Y1 Y 0.0000 0.0000 0.4038
Ba1 Ba 0.5000 0.5000 0.8131
Cu2 Cu 0.5000 0.5000 0.2066
```

Results
SG = P4mm (99)
offset from the most stable computed form = 64 kJ/mol of formula units

[8]
The following is a PBE calculation of crystalline BaY2ZrCu at its relaxed geometry, from Alexandria.

```
data_BaY2ZrCu
_chemical_formula_sum 'Ba1 Y2 Zr1 Cu1'
_cell_length_a 5.6455
_cell_length_b 5.2490
_cell_length_c 5.6455
_cell_angle_alpha 90.00
_cell_angle_beta 90.00
_cell_angle_gamma 90.00
_symmetry_space_group_name_H-M 'P 1'
_symmetry_Int_Tables_number 1
loop_
_symmetry_equiv_pos_as_xyz
'x,y,z'
loop_
_atom_site_label
_atom_site_type_symbol
_atom_site_fract_x
_atom_site_fract_y
_atom_site_fract_z
Zr1 Zr 0.0000 0.0000 0.0000
Ba1 Ba 0.5000 0.5000 0.5000
Y1 Y 0.5000 0.0000 0.0000
Y2 Y 0.0000 0.0000 0.5000
Cu1 Cu 0.0000 0.5000 0.0000
```

Results
SG = P4/mmm (123)

[9]
The following is a PBE calculation of crystalline BaZn6Cu3 at its relaxed geometry, from Alexandria.

```
data_BaZn6Cu3
_chemical_formula_sum 'Ba2 Zn12 Cu6'
_cell_length_a 6.7315
_cell_length_b 6.8630
_cell_length_c 7.9867
_cell_angle_alpha 108.40
_cell_angle_beta 90.00
_cell_angle_gamma 90.00
_symmetry_space_group_name_H-M 'P 1'
_symmetry_Int_Tables_number 1
loop_
_symmetry_equiv_pos_as_xyz
'x,y,z'
loop_
_atom_site_label
_atom_site_type_symbol
_atom_site_fract_x
_atom_site_fract_y
_atom_site_fract_z
Zn1 Zn 0.4769 0.9508 0.8196
Zn2 Zn 0.8520 0.1542 0.4576
Zn3 Zn 0.1480 0.8458 0.5424
Ba1 Ba 0.5000 0.5000 0.5000
Cu1 Cu 0.7956 0.8762 0.6195
Zn4 Zn 0.7099 0.2632 0.7784
Zn5 Zn 0.7901 0.7632 0.2784
Cu2 Cu 0.2956 0.6238 0.8805
Zn6 Zn 0.5231 0.0492 0.1804
Cu3 Cu 0.7044 0.3762 0.1195
Zn7 Zn 0.6480 0.6542 0.9576
Zn8 Zn 0.0231 0.4508 0.3196
Zn9 Zn 0.9769 0.5492 0.6804
Ba2 Ba 0.0000 0.0000 0.0000
Cu4 Cu 0.0000 0.5000 0.0000
Zn10 Zn 0.2099 0.2368 0.7216
Zn11 Zn 0.3520 0.3458 0.0424
Cu5 Cu 0.5000 0.0000 0.5000
Cu6 Cu 0.2044 0.1238 0.3805
Zn12 Zn 0.2901 0.7368 0.2216
```

Results
SG = P2_1/c (14)

[10]
The following is a PBE calculation of crystalline Ba3Zn9Cu2 at its relaxed geometry, from Alexandria.

```
data_Ba3Zn9Cu2
_chemical_formula_sum 'Ba3 Zn9 Cu2'
_cell_length_a 4.4361
_cell_length_b 8.8100
_cell_length_c 8.8100
_cell_angle_alpha 79.48
_cell_angle_beta 75.42
_cell_angle_gamma 75.42
_symmetry_space_group_name_H-M 'P 1'
_symmetry_Int_Tables_number 1
loop_
_symmetry_equiv_pos_as_xyz
'x,y,z'
loop_
_atom_site_label
_atom_site_type_symbol
_atom_site_fract_x
_atom_site_fract_y
_atom_site_fract_z
Ba1 Ba 0.0000 0.0000 0.0000
Zn1 Zn 0.0000 0.5000 0.5000
Ba2 Ba 0.6962 0.3038 0.3038
Zn2 Zn 0.6873 0.6188 0.0065
Zn3 Zn 0.6873 0.0065 0.6188
Ba3 Ba 0.3038 0.6962 0.6962
Zn4 Zn 0.8975 0.8142 0.3907
Zn5 Zn 0.1025 0.1858 0.6093
Zn6 Zn 0.3127 0.3812 0.9935
Cu1 Cu 0.5000 0.2605 0.7395
Zn7 Zn 0.1025 0.6093 0.1858
Zn8 Zn 0.8975 0.3907 0.8142
Cu2 Cu 0.5000 0.7395 0.2605
Zn9 Zn 0.3127 0.9935 0.3812
```

Results
SG = Immm (71)

[11]
The following is a PBE calculation of crystalline BaZn2Cu2 at its relaxed geometry, from Alexandria.

```
data_BaZn2Cu2
_chemical_formula_sum 'Ba1 Zn2 Cu2'
_cell_length_a 4.6271
_cell_length_b 4.6271
_cell_length_c 5.9127
_cell_angle_alpha 66.97
_cell_angle_beta 66.97
_cell_angle_gamma 90.00
_symmetry_space_group_name_H-M 'P 1'
_symmetry_Int_Tables_number 1
loop_
_symmetry_equiv_pos_as_xyz
'x,y,z'
loop_
_atom_site_label
_atom_site_type_symbol
_atom_site_fract_x
_atom_site_fract_y
_atom_site_fract_z
Zn1 Zn 0.6424 0.6424 0.7153
Zn2 Zn 0.3576 0.3576 0.2847
Cu1 Cu 0.2500 0.7500 0.5000
Cu2 Cu 0.7500 0.2500 0.5000
Ba1 Ba 0.0000 0.0000 0.0000
```

Results
SG = I4/mmm (139)
offset from the most stable computed form = 10 kJ/mol of formula units

[12]
The following is a PBE calculation of crystalline Ba2ZnCu2 at its relaxed geometry, from Alexandria.

```
data_Ba2ZnCu2
_chemical_formula_sum 'Ba4 Zn2 Cu4'
_cell_length_a 8.1280
_cell_length_b 8.1280
_cell_length_c 4.4475
_cell_angle_alpha 90.00
_cell_angle_beta 90.00
_cell_angle_gamma 90.00
_symmetry_space_group_name_H-M 'P 1'
_symmetry_Int_Tables_number 1
loop_
_symmetry_equiv_pos_as_xyz
'x,y,z'
loop_
_atom_site_label
_atom_site_type_symbol
_atom_site_fract_x
_atom_site_fract_y
_atom_site_fract_z
Cu1 Cu 0.1070 0.3930 0.0000
Ba1 Ba 0.6870 0.8130 0.5000
Zn1 Zn 0.0000 0.0000 0.0000
Zn2 Zn 0.5000 0.5000 0.0000
Cu2 Cu 0.6070 0.1070 0.0000
Ba2 Ba 0.1870 0.6870 0.5000
Ba3 Ba 0.3130 0.1870 0.5000
Cu3 Cu 0.3930 0.8930 0.0000
Cu4 Cu 0.8930 0.6070 0.0000
Ba4 Ba 0.8130 0.3130 0.5000
```

Results
SG = P4/mbm (127)

[13]
The following is a PBE calculation of crystalline Ba2ZnCu2 at its relaxed geometry, from Alexandria.

```
data_Ba2ZnCu2
_chemical_formula_sum 'Ba4 Zn2 Cu4'
_cell_length_a 6.2373
_cell_length_b 6.2784
_cell_length_c 8.4957
_cell_angle_alpha 99.56
_cell_angle_beta 90.00
_cell_angle_gamma 119.78
_symmetry_space_group_name_H-M 'P 1'
_symmetry_Int_Tables_number 1
loop_
_symmetry_equiv_pos_as_xyz
'x,y,z'
loop_
_atom_site_label
_atom_site_type_symbol
_atom_site_fract_x
_atom_site_fract_y
_atom_site_fract_z
Cu1 Cu 0.0023 0.2019 0.0049
Ba1 Ba 0.2403 0.6837 0.3432
Cu2 Cu 0.9977 0.7981 0.9951
Ba2 Ba 0.4434 0.6837 0.8432
Cu3 Cu 0.8003 0.7981 0.4951
Zn1 Zn 0.1073 0.0000 0.7500
Cu4 Cu 0.1997 0.2019 0.5049
Zn2 Zn 0.8927 0.0000 0.2500
Ba3 Ba 0.7597 0.3163 0.6568
Ba4 Ba 0.5566 0.3163 0.1568
```

Results
SG = C2/c (15)

[14]
The following is a PBE calculation of crystalline BaZnCu2 at its relaxed geometry, from Alexandria.

```
data_BaZnCu2
_chemical_formula_sum 'Ba1 Zn1 Cu2'
_cell_length_a 4.3326
_cell_length_b 4.3326
_cell_length_c 6.2238
_cell_angle_alpha 69.42
_cell_angle_beta 69.42
_cell_angle_gamma 60.09
_symmetry_space_group_name_H-M 'P 1'
_symmetry_Int_Tables_number 1
loop_
_symmetry_equiv_pos_as_xyz
'x,y,z'
loop_
_atom_site_label
_atom_site_type_symbol
_atom_site_fract_x
_atom_site_fract_y
_atom_site_fract_z
Cu1 Cu 0.0615 0.0615 0.8140
Zn1 Zn 0.4398 0.4398 0.6799
Ba1 Ba 0.2518 0.2518 0.2477
Cu2 Cu 0.7468 0.7468 0.7584
```

Results
SG = Cm (8)

| no. | DFT formation energy (meV/atom) | DOS at the Fermi energy (states/eV/atom) | calculated total energy (eV/atom) |
| --- | --- | --- | --- |
| 1 | 52.8 | 0.608 | -4.556 |
| 2 | 104.4 | 1.512 | -3.596 |
| 3 | -14.6 | 1.134 | -4.159 |
| 4 | 44.1 | 0.760 | -4.101 |
| 5 | 342.8 | 0.862 | -3.802 |
| 6 | 131.5 | 1.191 | -4.477 |
| 7 | 93.1 | 0.521 | -4.052 |
| 8 | 593.7 | 1.521 | -4.905 |
| 9 | -48.6 | 0.448 | -2.234 |
| 10 | -130.5 | 0.712 | -1.947 |
| 11 | -89.4 | 0.408 | -2.622 |
| 12 | 10.5 | 0.977 | -2.652 |
| 13 | -49.6 | 0.810 | -2.712 |
| 14 | -103.3 | 0.603 | -2.951 |